VASP calculation (PBE-GGA) on crystalline Rb2SmTlCl6 at its relaxed geometry.

Computed properties:
V ... 713.97 Å³/cell
ΔE_f (raw) ... -1.94 eV/atom
Space-group type ... P2_1/c
DOS at the Fermi energy ... 0.0000 states/eV per atom

```
data_Rb2SmTlCl6
_chemical_formula_sum 'Rb4 Sm2 Tl2 Cl12'
_cell_length_a 7.7735
_cell_length_b 8.2297
_cell_length_c 11.1614
_cell_angle_alpha 90.00
_cell_angle_beta 89.23
_cell_angle_gamma 90.00
_symmetry_space_group_name_H-M 'P 1'
_symmetry_Int_Tables_number 1
_symmetry_space_group_name_Hall 'P 1'
loop_
_atom_site_label
_atom_site_type_symbol
_atom_site_fract_x
_atom_site_fract_y
_atom_site_fract_z
Rb1 Rb 0.0258 0.9291 0.2532
Rb2 Rb 0.5258 0.5709 0.7532
Rb3 Rb 0.9742 0.0709 0.7468
Rb4 Rb 0.4742 0.4291 0.2468
Sm1 Sm 0.5000 0.0000 0.5000
Sm2 Sm 0.0000 0.5000 0.0000
Tl1 Tl 0.5000 0.0000 0.0000
Tl2 Tl 0.0000 0.5000 0.5000
Cl1 Cl 0.2819 0.6793 0.0537
Cl2 Cl 0.7819 0.8207 0.5537
Cl3 Cl 0.7181 0.3207 0.9463
Cl4 Cl 0.2181 0.1793 0.4463
Cl5 Cl 0.3297 0.7257 0.4327
Cl6 Cl 0.8297 0.7743 0.9327
Cl7 Cl 0.6703 0.2743 0.5673
Cl8 Cl 0.1703 0.2257 0.0673
Cl9 Cl 0.8826 0.5466 0.2278
Cl10 Cl 0.3826 0.9534 0.7278
Cl11 Cl 0.1174 0.4534 0.7722
Cl12 Cl 0.6174 0.0466 0.2722
```